A plane-wave DFT calculation with GGA-PBE was carried out for a relaxed TbSmCd2 crystal.

The structure belongs to space group P4/mmm (No. 123); the cell edges are 3.7716, 3.7716 and 7.6340 Å and the angles 90.00°, 90.00° and 90.00°. The inequivalent atoms are Tb at (0.0000, 0.0000, 0.0000), Sm at (0.0000, 0.0000, 0.5000) and Cd at (0.5000, 0.5000, 0.2418).

As for the total moment: 0.7 μB/f.u. For the density, the calculation gives 8.17 g/cm3. The total energy comes out at -3.1115 eV per atom.

=====

A plane-wave DFT calculation with GGA-PBE was carried out for a relaxed ZrTeAu4 crystal.

The structure belongs to space group F-43m (No. 216); the cell edges are 7.9119, 7.9119 and 7.9119 Å and the angles 90.00°, 90.00° and 90.00°. The inequivalent atoms are Zr at (0.0000, 0.0000, 0.0000), Te at (0.2500, 0.2500, 0.2500) and Au at (0.1253, 0.1253, 0.6253).

For the energy relative to the elements, uncorrected, the calculation gives -31 kJ/mol of formula units. As for the total moment: 0.0 μB/f.u. For the density, the calculation gives 13.50 g/cm3. The total energy comes out at -4.1872 eV per atom.

=====

A plane-wave DFT calculation with GGA-PBE was carried out for a relaxed La2GeAu crystal.

The structure belongs to space group I-42d (No. 122); the cell edges are 8.0068, 8.0068 and 7.8153 Å and the angles 90.00°, 90.00° and 90.00°. The inequivalent atoms are La at (0.2440, 0.2500, 0.1250), Ge at (0.0000, 0.0000, 0.0000) and Au at (0.0000, 0.0000, 0.5000).

As for the total moment: 0.0 μB/f.u. For the density, the calculation gives 7.26 g/cm3. The total energy comes out at -4.9368 eV per atom.